[1]
## BaAg3W (GGA-PBEsol)

Data for a relaxed BaAg3W crystal.

Properties
DFT formation energy, eV per atom: 0.931
Calculated volume, A^3/atom: 26.702

```
data_BaAg3W
_cell_length_a 5.1110
_cell_length_b 5.1110
_cell_length_c 5.1110
_cell_angle_alpha 90.00
_cell_angle_beta 90.00
_cell_angle_gamma 90.00
_symmetry_space_group_name_H-M 'P m -3 m'
_symmetry_Int_Tables_number 221
_symmetry_space_group_name_Hall '-P 4 2 3'
loop_
_atom_site_label
_atom_site_type_symbol
_atom_site_fract_x
_atom_site_fract_y
_atom_site_fract_z
Ba1 Ba 0.0000 0.0000 0.0000
Ag1 Ag 0.0000 0.5000 0.5000
W1 W 0.5000 0.5000 0.5000
```

=====

[2]
## BaY2Ag (GGA-PBEsol)

Data for a relaxed BaY2Ag crystal.

Properties
DFT formation energy, eV per atom: 0.208
Calculated volume, A^3/atom: 27.251
E above lowest polymorph, kcal/mol of atoms: 0.00

```
data_BaY2Ag
_cell_length_a 7.5829
_cell_length_b 7.5829
_cell_length_c 7.5829
_cell_angle_alpha 90.00
_cell_angle_beta 90.00
_cell_angle_gamma 90.00
_symmetry_space_group_name_H-M 'F m -3 m'
_symmetry_Int_Tables_number 225
_symmetry_space_group_name_Hall '-F 4 2 3'
loop_
_atom_site_label
_atom_site_type_symbol
_atom_site_fract_x
_atom_site_fract_y
_atom_site_fract_z
Ba1 Ba 0.0000 0.0000 0.0000
Y1 Y 0.2500 0.2500 0.2500
Ag1 Ag 0.0000 0.0000 0.5000
```

=====

[3]
## Ba2YAg (GGA-PBEsol)

Data for a relaxed Ba2YAg crystal.

Properties
DFT formation energy, eV per atom: 0.185
Calculated volume, A^3/atom: 35.874
E above lowest polymorph, kcal/mol of atoms: 2.60

```
data_Ba2YAg
_cell_length_a 8.3896
_cell_length_b 8.4642
_cell_length_c 4.0416
_cell_angle_alpha 90.00
_cell_angle_beta 90.00
_cell_angle_gamma 90.00
_symmetry_space_group_name_H-M 'C m m m'
_symmetry_Int_Tables_number 65
_symmetry_space_group_name_Hall '-C 2 2'
loop_
_atom_site_label
_atom_site_type_symbol
_atom_site_fract_x
_atom_site_fract_y
_atom_site_fract_z
Ba1 Ba 0.2500 0.2500 0.0000
Y1 Y 0.0000 0.0000 0.5000
Ag1 Ag 0.0000 0.5000 0.5000
```

=====

[4]
## Ba2YAg (GGA-PBEsol)

Data for a relaxed Ba2YAg crystal.

Properties
DFT formation energy, eV per atom: 0.072
Calculated volume, A^3/atom: 39.195
E above lowest polymorph, kcal/mol of atoms: 0.00

```
data_Ba2YAg
_cell_length_a 4.0342
_cell_length_b 5.6517
_cell_length_c 13.7525
_cell_angle_alpha 90.00
_cell_angle_beta 90.00
_cell_angle_gamma 90.00
_symmetry_space_group_name_H-M 'A m m 2'
_symmetry_Int_Tables_number 38
loop_
_symmetry_equiv_pos_as_xyz
'x,y,z'
'-x,-y,z'
'-x,y,z'
'x,-y,z'
'x,y+1/2,z+1/2'
'-x,-y+1/2,z+1/2'
'-x,y+1/2,z+1/2'
'x,-y+1/2,z+1/2'
loop_
_atom_site_label
_atom_site_type_symbol
_atom_site_fract_x
_atom_site_fract_y
_atom_site_fract_z
Ba1 Ba 0.0000 0.0000 0.0000
Ba2 Ba 0.5000 0.0000 0.3042
Y1 Y 0.0000 0.0000 0.6919
Ag1 Ag 0.5000 0.0000 0.5427
```

=====

[5]
## BaY2Ag (GGA-PBEsol)

Data for a relaxed BaY2Ag crystal.

Properties
DFT formation energy, eV per atom: 0.212
Calculated volume, A^3/atom: 30.374
E above lowest polymorph, kcal/mol of atoms: 0.09

```
data_BaY2Ag
_cell_length_a 4.7774
_cell_length_b 4.7774
_cell_length_c 5.3233
_cell_angle_alpha 90.00
_cell_angle_beta 90.00
_cell_angle_gamma 90.00
_symmetry_space_group_name_H-M 'P 4/m m m'
_symmetry_Int_Tables_number 123
_symmetry_space_group_name_Hall '-P 4 2'
loop_
_atom_site_label
_atom_site_type_symbol
_atom_site_fract_x
_atom_site_fract_y
_atom_site_fract_z
Ba1 Ba 0.0000 0.0000 0.0000
Y1 Y 0.0000 0.5000 0.5000
Ag1 Ag 0.5000 0.5000 0.0000
```

=====

[6]
## BaZnAg2 (GGA-PBEsol)

Data for a relaxed BaZnAg2 crystal.

Properties
DFT formation energy, eV per atom: -0.169
Calculated volume, A^3/atom: 25.348

```
data_BaZnAg2
_cell_length_a 4.5991
_cell_length_b 4.5991
_cell_length_c 16.6055
_cell_angle_alpha 90.00
_cell_angle_beta 90.00
_cell_angle_gamma 120.00
_symmetry_space_group_name_H-M 'R 3 m'
_symmetry_Int_Tables_number 160
_symmetry_space_group_name_Hall 'R 3 -2"'
loop_
_atom_site_label
_atom_site_type_symbol
_atom_site_fract_x
_atom_site_fract_y
_atom_site_fract_z
Ba1 Ba 0.0000 0.0000 0.0000
Zn1 Zn 0.0000 0.0000 0.1967
Ag1 Ag 0.0000 0.0000 0.5127
Ag2 Ag 0.0000 0.0000 0.8036
```

=====

[7]
## Ba2ZnAg (GGA-PBEsol)

Data for a relaxed Ba2ZnAg crystal.

Properties
DFT formation energy, eV per atom: -0.175
Calculated volume, A^3/atom: 34.033

```
data_Ba2ZnAg
_cell_length_a 4.7766
_cell_length_b 4.6917
_cell_length_c 12.1488
_cell_angle_alpha 90.00
_cell_angle_beta 90.00
_cell_angle_gamma 90.00
_symmetry_space_group_name_H-M 'A m m 2'
_symmetry_Int_Tables_number 38
loop_
_symmetry_equiv_pos_as_xyz
'x,y,z'
'-x,-y,z'
'-x,y,z'
'x,-y,z'
'x,y+1/2,z+1/2'
'-x,-y+1/2,z+1/2'
'-x,y+1/2,z+1/2'
'x,-y+1/2,z+1/2'
loop_
_atom_site_label
_atom_site_type_symbol
_atom_site_fract_x
_atom_site_fract_y
_atom_site_fract_z
Ba1 Ba 0.0000 0.0000 0.0000
Ba2 Ba 0.5000 0.0000 0.2846
Zn1 Zn 0.5000 0.0000 0.5845
Ag1 Ag 0.0000 0.0000 0.6977
```

=====

[8]
## Ba2ZnAg (GGA-PBEsol)

Data for a relaxed Ba2ZnAg crystal.

Properties
DFT formation energy, eV per atom: -0.140
Calculated volume, A^3/atom: 32.111

```
data_Ba2ZnAg
_cell_length_a 8.0112
_cell_length_b 8.0196
_cell_length_c 3.9985
_cell_angle_alpha 90.00
_cell_angle_beta 90.00
_cell_angle_gamma 90.00
_symmetry_space_group_name_H-M 'C m m m'
_symmetry_Int_Tables_number 65
_symmetry_space_group_name_Hall '-C 2 2'
loop_
_atom_site_label
_atom_site_type_symbol
_atom_site_fract_x
_atom_site_fract_y
_atom_site_fract_z
Ba1 Ba 0.2500 0.2500 0.0000
Zn1 Zn 0.0000 0.0000 0.5000
Ag1 Ag 0.0000 0.5000 0.5000
```

=====

[9]
## BaZn2Ag (GGA-PBEsol)

Data for a relaxed BaZn2Ag crystal.

Properties
DFT formation energy, eV per atom: 0.153
Calculated volume, A^3/atom: 25.145

```
data_BaZn2Ag
_cell_length_a 4.5708
_cell_length_b 4.5708
_cell_length_c 4.8143
_cell_angle_alpha 90.00
_cell_angle_beta 90.00
_cell_angle_gamma 90.00
_symmetry_space_group_name_H-M 'P 4/m m m'
_symmetry_Int_Tables_number 123
_symmetry_space_group_name_Hall '-P 4 2'
loop_
_atom_site_label
_atom_site_type_symbol
_atom_site_fract_x
_atom_site_fract_y
_atom_site_fract_z
Ba1 Ba 0.0000 0.0000 0.0000
Zn1 Zn 0.0000 0.5000 0.5000
Ag1 Ag 0.5000 0.5000 0.0000
```

=====

[10]
## Ba2ZnAg (GGA-PBEsol)

Data for a relaxed Ba2ZnAg crystal.

Properties
DFT formation energy, eV per atom: -0.011
Calculated volume, A^3/atom: 27.830

```
data_Ba2ZnAg
_cell_length_a 7.6362
_cell_length_b 7.6362
_cell_length_c 7.6362
_cell_angle_alpha 90.00
_cell_angle_beta 90.00
_cell_angle_gamma 90.00
_symmetry_space_group_name_H-M 'F -4 3 m'
_symmetry_Int_Tables_number 216
_symmetry_space_group_name_Hall 'F -4 2 3'
loop_
_atom_site_label
_atom_site_type_symbol
_atom_site_fract_x
_atom_site_fract_y
_atom_site_fract_z
Ba1 Ba 0.0000 0.0000 0.0000
Ba2 Ba 0.2500 0.2500 0.2500
Zn1 Zn 0.0000 0.0000 0.5000
Ag1 Ag 0.2500 0.2500 0.7500
```

=====

[11]
## BaZn2Ag (GGA-PBEsol)

Data for a relaxed BaZn2Ag crystal.

Properties
DFT formation energy, eV per atom: -0.176
Calculated volume, A^3/atom: 24.704

```
data_BaZn2Ag
_cell_length_a 4.4739
_cell_length_b 4.4739
_cell_length_c 17.1013
_cell_angle_alpha 90.00
_cell_angle_beta 90.00
_cell_angle_gamma 120.00
_symmetry_space_group_name_H-M 'R 3 m'
_symmetry_Int_Tables_number 160
_symmetry_space_group_name_Hall 'R 3 -2"'
loop_
_atom_site_label
_atom_site_type_symbol
_atom_site_fract_x
_atom_site_fract_y
_atom_site_fract_z
Ba1 Ba 0.0000 0.0000 0.0000
Zn1 Zn 0.0000 0.0000 0.1931
Zn2 Zn 0.0000 0.0000 0.5052
Ag1 Ag 0.0000 0.0000 0.8074
```

=====

[12]
## BaZnAg2 (GGA-PBEsol)

Data for a relaxed BaZnAg2 crystal.

Properties
DFT formation energy, eV per atom: -0.005
Calculated volume, A^3/atom: 22.347

```
data_BaZnAg2
_cell_length_a 3.4643
_cell_length_b 3.4643
_cell_length_c 7.4479
_cell_angle_alpha 90.00
_cell_angle_beta 90.00
_cell_angle_gamma 90.00
_symmetry_space_group_name_H-M 'P 4/m m m'
_symmetry_Int_Tables_number 123
_symmetry_space_group_name_Hall '-P 4 2'
loop_
_atom_site_label
_atom_site_type_symbol
_atom_site_fract_x
_atom_site_fract_y
_atom_site_fract_z
Ba1 Ba 0.0000 0.0000 0.0000
Zn1 Zn 0.0000 0.0000 0.5000
Ag1 Ag 0.5000 0.5000 0.3187
```

=====

[13]
## BaZn2Ag (GGA-PBEsol)

Data for a relaxed BaZn2Ag crystal.

Properties
DFT formation energy, eV per atom: -0.176
Calculated volume, A^3/atom: 24.619

```
data_BaZn2Ag
_cell_length_a 7.7719
_cell_length_b 4.4815
_cell_length_c 6.2243
_cell_angle_alpha 90.00
_cell_angle_beta 114.70
_cell_angle_gamma 90.00
_symmetry_space_group_name_H-M 'C 1 2/m 1'
_symmetry_Int_Tables_number 12
loop_
_symmetry_equiv_pos_as_xyz
'x,y,z'
'-x,-y,-z'
'-x,y,-z'
'x,-y,z'
'x+1/2,y+1/2,z'
'-x+1/2,-y+1/2,-z'
'-x+1/2,y+1/2,-z'
'x+1/2,-y+1/2,z'
loop_
_atom_site_label
_atom_site_type_symbol
_atom_site_fract_x
_atom_site_fract_y
_atom_site_fract_z
Ba1 Ba 0.0000 0.0000 0.0000
Zn1 Zn 0.1936 0.0000 0.5814
Ag1 Ag 0.0000 0.5000 0.5000
```

=====

[14]
## BaZrAg (GGA-PBEsol)

Data for a relaxed BaZrAg crystal.

Properties
DFT formation energy, eV per atom: 1.233
Calculated volume, A^3/atom: 28.440
E above lowest polymorph, kcal/mol of atoms: 18.41

```
data_BaZrAg
_cell_length_a 6.9882
_cell_length_b 6.9882
_cell_length_c 6.9882
_cell_angle_alpha 90.00
_cell_angle_beta 90.00
_cell_angle_gamma 90.00
_symmetry_space_group_name_H-M 'F -4 3 m'
_symmetry_Int_Tables_number 216
_symmetry_space_group_name_Hall 'F -4 2 3'
loop_
_atom_site_label
_atom_site_type_symbol
_atom_site_fract_x
_atom_site_fract_y
_atom_site_fract_z
Ba1 Ba 0.0000 0.0000 0.0000
Zr1 Zr 0.2500 0.2500 0.2500
Ag1 Ag 0.2500 0.2500 0.7500
```

=====

[15]
## BaZr2Ag (GGA-PBEsol)

Data for a relaxed BaZr2Ag crystal.

Properties
DFT formation energy, eV per atom: 0.536
Calculated volume, A^3/atom: 24.672
E above lowest polymorph, kcal/mol of atoms: 1.76

```
data_BaZr2Ag
_cell_length_a 4.3940
_cell_length_b 4.3940
_cell_length_c 10.2229
_cell_angle_alpha 90.00
_cell_angle_beta 90.00
_cell_angle_gamma 90.00
_symmetry_space_group_name_H-M 'I 4/m m m'
_symmetry_Int_Tables_number 139
_symmetry_space_group_name_Hall '-I 4 2'
loop_
_atom_site_label
_atom_site_type_symbol
_atom_site_fract_x
_atom_site_fract_y
_atom_site_fract_z
Ba1 Ba 0.0000 0.0000 0.0000
Zr1 Zr 0.0000 0.5000 0.2500
Ag1 Ag 0.0000 0.0000 0.5000
```

=====

[16]
## BaZr4Ag (GGA-PBEsol)

Data for a relaxed BaZr4Ag crystal.

Properties
DFT formation energy, eV per atom: 0.568
Calculated volume, A^3/atom: 24.417

```
data_BaZr4Ag
_cell_length_a 8.3682
_cell_length_b 8.3682
_cell_length_c 8.3682
_cell_angle_alpha 90.00
_cell_angle_beta 90.00
_cell_angle_gamma 90.00
_symmetry_space_group_name_H-M 'F -4 3 m'
_symmetry_Int_Tables_number 216
_symmetry_space_group_name_Hall 'F -4 2 3'
loop_
_atom_site_label
_atom_site_type_symbol
_atom_site_fract_x
_atom_site_fract_y
_atom_site_fract_z
Ba1 Ba 0.0000 0.0000 0.0000
Zr1 Zr 0.1239 0.1239 0.6239
Ag1 Ag 0.2500 0.2500 0.2500
```

=====

[17]
## BaZr2Ag (GGA-PBEsol)

Data for a relaxed BaZr2Ag crystal.

Properties
DFT formation energy, eV per atom: 0.460
Calculated volume, A^3/atom: 24.904
E above lowest polymorph, kcal/mol of atoms: 0.00

```
data_BaZr2Ag
_cell_length_a 6.2181
_cell_length_b 11.6529
_cell_length_c 3.1605
_cell_angle_alpha 90.00
_cell_angle_beta 119.54
_cell_angle_gamma 90.00
_symmetry_space_group_name_H-M 'C 1 2/m 1'
_symmetry_Int_Tables_number 12
loop_
_symmetry_equiv_pos_as_xyz
'x,y,z'
'-x,-y,-z'
'-x,y,-z'
'x,-y,z'
'x+1/2,y+1/2,z'
'-x+1/2,-y+1/2,-z'
'-x+1/2,y+1/2,-z'
'x+1/2,-y+1/2,z'
loop_
_atom_site_label
_atom_site_type_symbol
_atom_site_fract_x
_atom_site_fract_y
_atom_site_fract_z
Ba1 Ba 0.0000 0.0000 0.0000
Zr1 Zr 0.2500 0.2500 0.5000
Ag1 Ag 0.0000 0.5000 0.0000
```

=====

[18]
## BaZr3Ag (GGA-PBEsol)

Data for a relaxed BaZr3Ag crystal.

Properties
DFT formation energy, eV per atom: 0.819
Calculated volume, A^3/atom: 28.877

```
data_BaZr3Ag
_cell_length_a 5.2462
_cell_length_b 5.2462
_cell_length_c 5.2462
_cell_angle_alpha 90.00
_cell_angle_beta 90.00
_cell_angle_gamma 90.00
_symmetry_space_group_name_H-M 'P m -3 m'
_symmetry_Int_Tables_number 221
_symmetry_space_group_name_Hall '-P 4 2 3'
loop_
_atom_site_label
_atom_site_type_symbol
_atom_site_fract_x
_atom_site_fract_y
_atom_site_fract_z
Ba1 Ba 0.0000 0.0000 0.0000
Zr1 Zr 0.0000 0.5000 0.5000
Ag1 Ag 0.5000 0.5000 0.5000
```

=====

[19]
## BaZrAg (GGA-PBEsol)

Data for a relaxed BaZrAg crystal.

Properties
DFT formation energy, eV per atom: 0.435
Calculated volume, A^3/atom: 26.935
E above lowest polymorph, kcal/mol of atoms: 0.00

```
data_BaZrAg
_cell_length_a 3.4405
_cell_length_b 3.4405
_cell_length_c 7.8827
_cell_angle_alpha 90.00
_cell_angle_beta 90.00
_cell_angle_gamma 120.00
_symmetry_space_group_name_H-M 'P 3 m 1'
_symmetry_Int_Tables_number 156
loop_
_symmetry_equiv_pos_as_xyz
'x,y,z'
'-y,x-y,z'
'-x+y,-x,z'
'-y,-x,z'
'-x+y,y,z'
'x,x-y,z'
loop_
_atom_site_label
_atom_site_type_symbol
_atom_site_fract_x
_atom_site_fract_y
_atom_site_fract_z
Ba1 Ba 0.0000 0.0000 0.0000
Zr1 Zr 0.3333 0.6667 0.6156
Ag1 Ag 0.6667 0.3333 0.3503
```

=====

[20]
## BeAg5 (GGA-PBEsol)

Data for a relaxed BeAg5 crystal.

Properties
DFT formation energy, eV per atom: 0.036
Calculated volume, A^3/atom: 15.104
E above lowest polymorph, kcal/mol of atoms: 0.00

```
data_BeAg5
_cell_length_a 2.8613
_cell_length_b 2.8613
_cell_length_c 11.0692
_cell_angle_alpha 90.00
_cell_angle_beta 90.00
_cell_angle_gamma 90.00
_symmetry_space_group_name_H-M 'P 4/m m m'
_symmetry_Int_Tables_number 123
_symmetry_space_group_name_Hall '-P 4 2'
loop_
_atom_site_label
_atom_site_type_symbol
_atom_site_fract_x
_atom_site_fract_y
_atom_site_fract_z
Be1 Be 0.0000 0.0000 0.0000
Ag1 Ag 0.0000 0.0000 0.3166
Ag2 Ag 0.5000 0.5000 0.1314
Ag3 Ag 0.5000 0.5000 0.5000
```